# 1
A relaxed Co4Ni3Pd crystal. Source: Alexandria via LeMat-Bulk, functional PBE-GGA.

Cell: 8.391 8.391 4.393 Å, 94.85 94.85 17.46°
Positions (direct):
1 Co 0.132 0.132 0.375
2 Co 0.249 0.249 0.749
3 Co 0.751 0.751 0.251
4 Co 0.868 0.868 0.625
5 Ni 0.000 0.000 0.000
6 Ni 0.372 0.372 0.117
7 Ni 0.628 0.628 0.883
8 Pd 0.500 0.500 0.500

Output
The formation energy is 29 kJ/mol of formula units. As for the space group: C2/m (12). The total magnetic moment comes out at 8.92 μB per cell.



# 2
A relaxed PPb2I crystal. Source: Alexandria via LeMat-Bulk, functional PBE-GGA.

Cell: 7.255 7.255 7.255 Å, 111.83 111.83 104.84°
Positions (direct):
1 P 0.000 0.000 0.000
2 P 0.750 0.250 0.500
3 Pb 0.061 0.125 0.436
4 Pb 0.375 0.939 0.064
5 Pb 0.689 0.625 0.564
6 Pb 0.875 0.311 0.936
7 I 0.250 0.750 0.500
8 I 0.500 0.500 0.000

Output
Its energy relative to the elements, uncorrected is -0.02 eV/atom. As for the space group: I-42d (122). The total magnetic moment comes out at 0.00 μB per cell.



# 3
A relaxed YAgSbTe2 crystal. Source: Alexandria via LeMat-Bulk, functional PBE-GGA.

Cell: 5.823 5.823 5.845 Å, 90.00 90.00 90.00°
Positions (direct):
1 Y 0.000 0.000 0.000
2 Ag 0.500 0.500 0.500
3 Sb 0.000 0.000 0.500
4 Te 0.000 0.500 0.000
5 Te 0.500 0.000 0.000

Output
Its energy relative to the elements, uncorrected is 0.19 eV/atom. As for the space group: P4/mmm (123). The total magnetic moment comes out at 0.36 μB per cell.



# 4
A relaxed Cd2AgRhI crystal. Source: Alexandria via LeMat-Bulk, functional PBE-GGA.

Cell: 5.203 5.203 5.242 Å, 90.00 90.00 90.00°
Positions (direct):
1 Cd 0.000 0.500 0.000
2 Cd 0.500 0.000 0.000
3 Ag 0.000 0.000 0.500
4 Rh 0.000 0.000 0.000
5 I 0.500 0.500 0.500

Output
Its energy relative to the elements, uncorrected is 0.38 eV/atom. As for the space group: P4/mmm (123). The total magnetic moment comes out at 0.00 μB per cell.



# 5
A relaxed InSiHg2 crystal. Source: Alexandria via LeMat-Bulk, functional PBE-GGA.

Cell: 3.399 3.399 9.394 Å, 90.00 90.00 117.80°
Positions (direct):
1 In 0.000 0.000 0.000
2 Si 0.000 0.000 0.500
3 Hg 0.500 0.500 0.271
4 Hg 0.500 0.500 0.729

Output
Its energy relative to the elements, uncorrected is 0.34 eV/atom. As for the space group: Cmmm (65). The total magnetic moment comes out at 0.00 μB per cell.



# 6
A relaxed ScIN2F crystal. Source: Alexandria via LeMat-Bulk, functional PBE-GGA.

Cell: 4.371 4.371 3.956 Å, 90.00 90.00 90.00°
Positions (direct):
1 Sc 0.000 0.000 0.000
2 I 0.500 0.500 0.500
3 N 0.000 0.500 0.000
4 N 0.500 0.000 0.000
5 F 0.000 0.000 0.500

Output
Its energy relative to the elements, uncorrected is -0.14 eV/atom. As for the space group: P4/mmm (123). The total magnetic moment comes out at 0.00 μB per cell.



# 7
A relaxed La2NbTlN crystal. Source: Alexandria via LeMat-Bulk, functional PBE-GGA.

Cell: 5.307 5.307 4.216 Å, 90.00 90.00 90.00°
Positions (direct):
1 La 0.000 0.500 0.000
2 La 0.500 0.000 0.000
3 Nb 0.000 0.000 0.500
4 Tl 0.500 0.500 0.500
5 N 0.000 0.000 0.000

Output
Its energy relative to the elements, uncorrected is -0.59 eV/atom. As for the space group: P4/mmm (123). The total magnetic moment comes out at 0.00 μB per cell.



# 8
A relaxed TlVZnCl6 crystal. Source: Alexandria via LeMat-Bulk, functional PBE-GGA.

Cell: 6.385 6.385 7.133 Å, 90.00 90.00 120.00°
Positions (direct):
1 Tl 0.000 0.000 0.000
2 V 0.333 0.667 0.500
3 Zn 0.667 0.333 0.500
4 Cl 0.011 0.379 0.694
5 Cl 0.011 0.632 0.306
6 Cl 0.368 0.379 0.306
7 Cl 0.368 0.989 0.694
8 Cl 0.621 0.632 0.694
9 Cl 0.621 0.989 0.306

Output
Its energy relative to the elements, uncorrected is -1.13 eV/atom. As for the space group: P312 (149). The total magnetic moment comes out at 2.00 μB per cell.



# 9
A relaxed NaAcDy4S8 crystal. Source: Alexandria via LeMat-Bulk, functional PBE-GGA.

Cell: 8.351 8.351 8.351 Å, 58.22 58.22 58.22°
Positions (direct):
1 Na 0.000 0.000 0.000
2 Ac 0.370 0.370 0.370
3 Dy 0.368 0.368 0.886
4 Dy 0.368 0.886 0.368
5 Dy 0.746 0.746 0.746
6 Dy 0.886 0.368 0.368
7 S 0.122 0.122 0.591
8 S 0.122 0.591 0.122
9 S 0.135 0.135 0.135
10 S 0.139 0.626 0.626
11 S 0.591 0.122 0.122
12 S 0.615 0.615 0.615
13 S 0.626 0.139 0.626
14 S 0.626 0.626 0.139

Output
Its energy relative to the elements, uncorrected is -1.95 eV/atom. As for the space group: R3m (160). The total magnetic moment comes out at 0.00 μB per cell.



# 10
A relaxed Li2CaHgF8 crystal. Source: Alexandria via LeMat-Bulk, functional PBE-GGA.

Cell: 6.033 6.033 6.033 Å, 110.17 110.17 108.08°
Positions (direct):
1 Li 0.000 0.000 0.000
2 Li 0.750 0.250 0.500
3 Ca 0.250 0.750 0.500
4 Hg 0.500 0.500 0.000
5 F 0.140 0.453 0.686
6 F 0.195 0.016 0.821
7 F 0.195 0.374 0.179
8 F 0.547 0.233 0.686
9 F 0.547 0.860 0.314
10 F 0.626 0.805 0.821
11 F 0.767 0.453 0.314
12 F 0.984 0.805 0.179

Output
Its energy relative to the elements, uncorrected is -2.25 eV/atom. As for the space group: I-4m2 (119). The total magnetic moment comes out at 1.71 μB per cell.



# 11
A relaxed Sn3As4Au crystal. Source: Alexandria via LeMat-Bulk, functional PBE-GGA.

Cell: 9.007 7.320 7.106 Å, 90.00 90.00 90.00°
Positions (direct):
1 Sn 0.000 0.185 0.000
2 Sn 0.249 0.331 0.501
3 Sn 0.251 0.669 0.001
4 Sn 0.500 0.815 0.500
5 Sn 0.749 0.669 0.001
6 Sn 0.751 0.331 0.501
7 As 0.000 0.160 0.618
8 As 0.000 0.835 0.125
9 As 0.236 0.680 0.619
10 As 0.264 0.320 0.119
11 As 0.500 0.165 0.625
12 As 0.500 0.840 0.118
13 As 0.736 0.320 0.119
14 As 0.764 0.680 0.619
15 Au 0.000 0.832 0.483
16 Au 0.500 0.168 0.983

Output
The formation energy is 1 kJ/mol of formula units. As for the space group: Pmn2_1 (31). The total magnetic moment comes out at 0.00 μB per cell.



# 12
A relaxed CeSbAuO crystal. Source: Alexandria via LeMat-Bulk, functional PBE-GGA.

Cell: 9.364 9.364 9.364 Å, 160.43 160.43 27.82°
Positions (direct):
1 Ce 0.000 0.000 0.000
2 Sb 0.750 0.750 0.000
3 Au 0.367 0.367 0.000
4 O 0.540 0.540 0.000

Output
Its energy relative to the elements, uncorrected is -1.28 eV/atom. As for the space group: I4mm (107). The total magnetic moment comes out at 0.49 μB per cell.



# 13
A relaxed Tl2BiTeO8 crystal. Source: Alexandria via LeMat-Bulk, functional PBE-GGA.

Cell: 5.087 5.087 6.813 Å, 90.00 90.00 92.64°
Positions (direct):
1 Tl 0.000 0.000 0.242
2 Tl 0.000 0.000 0.758
3 Bi 0.500 0.500 0.500
4 Te 0.500 0.500 0.000
5 O 0.194 0.194 0.500
6 O 0.218 0.218 0.000
7 O 0.322 0.678 0.219
8 O 0.322 0.678 0.781
9 O 0.678 0.322 0.219
10 O 0.678 0.322 0.781
11 O 0.782 0.782 0.000
12 O 0.806 0.806 0.500

Output
Its energy relative to the elements, uncorrected is -0.82 eV/atom. As for the space group: Cmmm (65). The total magnetic moment comes out at 0.00 μB per cell.



# 14
A relaxed Ce2HoZrN5 crystal. Source: Alexandria via LeMat-Bulk, functional PBE-GGA.

Cell: 7.130 7.130 11.337 Å, 90.00 90.00 150.91°
Positions (direct):
1 Ce 0.132 0.868 0.500
2 Ce 0.135 0.865 0.028
3 Ce 0.865 0.135 0.528
4 Ce 0.868 0.132 0.000
5 Ho 0.238 0.762 0.775
6 Ho 0.762 0.238 0.275
7 Zr 0.490 0.510 0.271
8 Zr 0.510 0.490 0.771
9 N 0.072 0.928 0.827
10 N 0.277 0.723 0.429
11 N 0.286 0.714 0.134
12 N 0.385 0.615 0.871
13 N 0.457 0.543 0.597
14 N 0.543 0.457 0.097
15 N 0.615 0.385 0.371
16 N 0.714 0.286 0.634
17 N 0.723 0.277 0.929
18 N 0.928 0.072 0.327

Output
Its energy relative to the elements, uncorrected is -1.43 eV/atom. As for the space group: Cmc2_1 (36). The total magnetic moment comes out at 0.00 μB per cell.



# 15
A relaxed K3SnRh3O8 crystal. Source: Alexandria via LeMat-Bulk, functional PBE-GGA.

Cell: 7.096 7.096 7.096 Å, 53.45 53.45 53.45°
Positions (direct):
1 K 0.000 0.500 0.500
2 K 0.500 0.000 0.500
3 K 0.500 0.500 0.000
4 Sn 0.500 0.500 0.500
5 Rh 0.000 0.000 0.500
6 Rh 0.000 0.500 0.000
7 Rh 0.500 0.000 0.000
8 O 0.221 0.726 0.726
9 O 0.222 0.222 0.222
10 O 0.274 0.274 0.779
11 O 0.274 0.779 0.274
12 O 0.726 0.221 0.726
13 O 0.726 0.726 0.221
14 O 0.778 0.778 0.778
15 O 0.779 0.274 0.274

Output
Its energy relative to the elements, uncorrected is -1.18 eV/atom. As for the space group: R-3m (166). The total magnetic moment comes out at 0.00 μB per cell.



# 16
A relaxed YNbBiRu2 crystal. Source: Alexandria via LeMat-Bulk, functional PBE-GGA.

Cell: 4.744 4.744 5.486 Å, 90.00 90.00 90.00°
Positions (direct):
1 Y 0.000 0.000 0.000
2 Nb 0.000 0.000 0.500
3 Bi 0.500 0.500 0.000
4 Ru 0.000 0.500 0.500
5 Ru 0.500 0.000 0.500

Output
The formation energy is 412 kJ/mol of formula units. As for the space group: P4/mmm (123). The total magnetic moment comes out at 1.00 μB per cell.



# 17
A relaxed La5Os crystal. Source: Alexandria via LeMat-Bulk, functional PBE-GGA.

Cell: 6.388 6.388 5.099 Å, 90.00 90.00 120.00°
Positions (direct):
1 La 0.000 0.714 0.000
2 La 0.286 0.286 0.000
3 La 0.333 0.667 0.500
4 La 0.667 0.333 0.500
5 La 0.714 0.000 0.000
6 Os 0.000 0.000 0.500

Output
The formation energy is 109 kJ/mol of formula units. As for the space group: P-62m (189). The total magnetic moment comes out at 0.00 μB per cell.



# 18
A relaxed YInCu4 crystal. Source: Alexandria via LeMat-Bulk, functional PBE-GGA.

Cell: 5.135 5.135 5.135 Å, 60.00 60.00 60.00°
Positions (direct):
1 Y 0.000 0.000 0.000
2 In 0.750 0.750 0.750
3 Cu 0.375 0.375 0.375
4 Cu 0.375 0.375 0.874
5 Cu 0.375 0.874 0.375
6 Cu 0.874 0.375 0.375

Output
The formation energy is -160 kJ/mol of formula units. As for the space group: F-43m (216). The total magnetic moment comes out at 0.00 μB per cell.



# 19
A relaxed Hf3WBr crystal. Source: Alexandria via LeMat-Bulk, functional PBE-GGA.

Cell: 4.812 4.812 4.812 Å, 90.00 90.00 90.00°
Positions (direct):
1 Hf 0.000 0.000 0.500
2 Hf 0.000 0.500 0.000
3 Hf 0.500 0.000 0.000
4 W 0.500 0.500 0.500
5 Br 0.000 0.000 0.000

Output
Its energy relative to the elements, uncorrected is 1.05 eV/atom. As for the space group: Pm-3m (221). The total magnetic moment comes out at 0.05 μB per cell.



# 20
A relaxed PaTcH2O8 crystal. Source: Alexandria via LeMat-Bulk, functional PBE-GGA.

Cell: 4.801 5.391 6.427 Å, 93.39 95.36 114.35°
Positions (direct):
1 Pa 0.000 0.000 0.000
2 Tc 0.000 0.000 0.500
3 H 0.411 0.754 0.358
4 H 0.589 0.246 0.642
5 O 0.084 0.809 0.715
6 O 0.124 0.827 0.268
7 O 0.409 0.258 0.555
8 O 0.431 0.365 0.020
9 O 0.569 0.635 0.980
10 O 0.591 0.742 0.445
11 O 0.876 0.173 0.732
12 O 0.916 0.191 0.285

Output
As for the space group: P-1 (2). The calculation puts the calculated total energy at -6.979 eV per atom. The total magnetic moment comes out at 0.00 μB per cell.